one | # Ac3Pr2Y PBE-GGA optimized geometry
data_Ac3Pr2Y
_chemical_formula_sum 'Ac6 Pr4 Y2'
_cell_length_a 9.1414
_cell_length_b 3.9307
_cell_length_c 13.4383
_cell_angle_alpha 90.00
_cell_angle_beta 90.32
_cell_angle_gamma 90.00
_space_group_name_H-M_alt 'P 1 21/m 1'
_space_group_IT_number 11
loop_
_space_group_symop_operation_xyz
'x,y,z'
'-x,-y,-z'
'-x,y+1/2,-z'
'x,-y+1/2,z'
loop_
_atom_site_label
_atom_site_type_symbol
_atom_site_fract_x
_atom_site_fract_y
_atom_site_fract_z
_atom_site_occupancy
Ac1 Ac 0.0863 0.2500 0.3890 1
Ac2 Ac 0.3361 0.7500 0.9456 1
Ac3 Ac 0.3992 0.7500 0.2506 1
Pr1 Pr 0.0766 0.2500 0.1106 1
Pr2 Pr 0.3534 0.7500 0.5509 1
Y1 Y 0.1883 0.2500 0.7438 1
# Spin magnetization in μB/cell: 0.00
# ρ in kg/m³: 7234

two | # Ac3Pr2Y PBE-GGA optimized geometry
data_Ac3Pr2Y
_chemical_formula_sum 'Ac12 Pr8 Y4'
_cell_length_a 9.5997
_cell_length_b 10.6725
_cell_length_c 9.5526
_cell_angle_alpha 90.00
_cell_angle_beta 101.08
_cell_angle_gamma 90.00
_space_group_name_H-M_alt 'C 1 2/c 1'
_space_group_IT_number 15
loop_
_space_group_symop_operation_xyz
'x,y,z'
'-x,-y,-z'
'-x,y,-z+1/2'
'x,-y,z+1/2'
'x+1/2,y+1/2,z'
'-x+1/2,-y+1/2,-z'
'-x+1/2,y+1/2,-z+1/2'
'x+1/2,-y+1/2,z+1/2'
loop_
_atom_site_label
_atom_site_type_symbol
_atom_site_fract_x
_atom_site_fract_y
_atom_site_fract_z
_atom_site_occupancy
Ac1 Ac 0.0000 0.0597 0.2500 1
Ac2 Ac 0.2192 0.4175 0.9801 1
Pr1 Pr 0.1328 0.2511 0.6191 1
Y1 Y 0.0000 0.3858 0.2500 1
# Spin magnetization in μB/cell: 0.00
# ρ in kg/m³: 7273

Most stable: one. Least stable: two.

one | # AcPr6Y PBE-GGA optimized geometry
data_AcPr6Y
_chemical_formula_sum 'Ac1 Pr6 Y1'
_cell_length_a 6.9075
_cell_length_b 6.9631
_cell_length_c 7.0149
_cell_angle_alpha 60.26
_cell_angle_beta 87.63
_cell_angle_gamma 86.02
_space_group_name_H-M_alt 'P -1'
_space_group_IT_number 2
loop_
_space_group_symop_operation_xyz
'x,y,z'
'-x,-y,-z'
loop_
_atom_site_label
_atom_site_type_symbol
_atom_site_fract_x
_atom_site_fract_y
_atom_site_fract_z
_atom_site_occupancy
Ac1 Ac 0.0000 0.0000 0.0000 1
Pr1 Pr 0.2486 0.4591 0.9975 1
Pr2 Pr 0.2629 0.9208 0.5215 1
Pr3 Pr 0.2653 0.4437 0.4737 1
Y1 Y 0.5000 0.0000 0.0000 1
# Spin magnetization in μB/cell: 0.00
# ρ in kg/m³: 6599

two | # AcPr6Y PBE-GGA optimized geometry
data_AcPr6Y
_chemical_formula_sum 'Ac1 Pr6 Y1'
_cell_length_a 5.2809
_cell_length_b 5.2809
_cell_length_c 10.5494
_cell_angle_alpha 90.00
_cell_angle_beta 90.00
_cell_angle_gamma 90.00
_space_group_name_H-M_alt 'P 4/m m m'
_space_group_IT_number 123
_space_group_name_Hall '-P 4 2'
loop_
_atom_site_label
_atom_site_type_symbol
_atom_site_fract_x
_atom_site_fract_y
_atom_site_fract_z
_atom_site_occupancy
Ac1 Ac 0.0000 0.0000 0.0000 1
Pr1 Pr 0.0000 0.5000 0.2570 1
Pr2 Pr 0.5000 0.5000 0.0000 1
Pr3 Pr 0.5000 0.5000 0.5000 1
Y1 Y 0.0000 0.0000 0.5000 1
# Spin magnetization in μB/cell: 0.00
# ρ in kg/m³: 6555

Most stable: two. Least stable: one.

one | # AcPr6Y2 PBE-GGA optimized geometry
data_AcPr6Y2
_chemical_formula_sum 'Ac2 Pr12 Y4'
_cell_length_a 17.9799
_cell_length_b 10.6687
_cell_length_c 3.5492
_cell_angle_alpha 90.00
_cell_angle_beta 100.97
_cell_angle_gamma 90.00
_space_group_name_H-M_alt 'C 1 2/m 1'
_space_group_IT_number 12
loop_
_space_group_symop_operation_xyz
'x,y,z'
'-x,-y,-z'
'-x,y,-z'
'x,-y,z'
'x+1/2,y+1/2,z'
'-x+1/2,-y+1/2,-z'
'-x+1/2,y+1/2,-z'
'x+1/2,-y+1/2,z'
loop_
_atom_site_label
_atom_site_type_symbol
_atom_site_fract_x
_atom_site_fract_y
_atom_site_fract_z
_atom_site_occupancy
Ac1 Ac 0.0000 0.0000 0.0000 1
Pr1 Pr 0.0000 0.3167 0.5000 1
Pr2 Pr 0.1681 0.1954 0.1685 1
Y1 Y 0.1686 0.5000 0.6682 1
# Spin magnetization in μB/cell: 0.00
# ρ in kg/m³: 6212

two | # AcPr6Y2 PBE-GGA optimized geometry
data_AcPr6Y2
_chemical_formula_sum 'Ac1 Pr6 Y2'
_cell_length_a 3.7164
_cell_length_b 3.7164
_cell_length_c 27.6885
_cell_angle_alpha 90.00
_cell_angle_beta 90.00
_cell_angle_gamma 120.00
_space_group_name_H-M_alt 'P -6 m 2'
_space_group_IT_number 187
_space_group_name_Hall 'P -6 2'
loop_
_atom_site_label
_atom_site_type_symbol
_atom_site_fract_x
_atom_site_fract_y
_atom_site_fract_z
_atom_site_occupancy
Ac1 Ac 0.0000 0.0000 0.0000 1
Pr1 Pr 0.0000 0.0000 0.2253 1
Pr2 Pr 0.0000 0.0000 0.4346 1
Pr3 Pr 0.3333 0.6667 0.1160 1
Y1 Y 0.3333 0.6667 0.3322 1
# Spin magnetization in μB/cell: 0.00
# ρ in kg/m³: 6269

Most stable: two. Least stable: one.

one | # Ac12Pr7Y PBE-GGA optimized geometry
data_Ac12Pr7Y
_chemical_formula_sum 'Ac36 Pr21 Y3'
_cell_length_a 20.9343
_cell_length_b 20.9343
_cell_length_c 6.7304
_cell_angle_alpha 90.00
_cell_angle_beta 90.00
_cell_angle_gamma 120.00
_space_group_name_H-M_alt 'R -3'
_space_group_IT_number 148
_space_group_name_Hall '-R 3'
loop_
_atom_site_label
_atom_site_type_symbol
_atom_site_fract_x
_atom_site_fract_y
_atom_site_fract_z
_atom_site_occupancy
Ac1 Ac 0.9998 0.4121 0.9998 1
Ac2 Ac 0.1022 0.5508 0.4803 1
Pr1 Pr 0.0000 0.0000 0.0000 1
Pr2 Pr 0.0812 0.1631 0.3075 1
Y1 Y 0.0000 0.0000 0.5000 1
# Spin magnetization in μB/cell: 0.00
# ρ in kg/m³: 7409

two | # Ac12Pr7Y PBE-GGA optimized geometry
data_Ac12Pr7Y
_chemical_formula_sum 'Ac24 Pr14 Y2'
_cell_length_a 12.2713
_cell_length_b 12.2713
_cell_length_c 12.2713
_cell_angle_alpha 90.00
_cell_angle_beta 90.00
_cell_angle_gamma 90.00
_space_group_name_H-M_alt 'I m -3'
_space_group_IT_number 204
_space_group_name_Hall '-I 2 2 3'
loop_
_atom_site_label
_atom_site_type_symbol
_atom_site_fract_x
_atom_site_fract_y
_atom_site_fract_z
_atom_site_occupancy
Ac1 Ac 0.0000 0.2842 0.2103 1
Pr1 Pr 0.0000 0.0000 0.5000 1
Pr2 Pr 0.2500 0.2500 0.2500 1
Y1 Y 0.0000 0.0000 0.0000 1
# Spin magnetization in μB/cell: 0.07
# ρ in kg/m³: 6828

Most stable: one. Least stable: two.

one | # Ac2Pr8Y3 PBE-GGA optimized geometry
data_Ac2Pr8Y3
_chemical_formula_sum 'Ac4 Pr16 Y6'
_cell_length_a 13.5595
_cell_length_b 12.1482
_cell_length_c 6.3483
_cell_angle_alpha 90.00
_cell_angle_beta 113.31
_cell_angle_gamma 90.00
_space_group_name_H-M_alt 'C 1 2/m 1'
_space_group_IT_number 12
loop_
_space_group_symop_operation_xyz
'x,y,z'
'-x,-y,-z'
'-x,y,-z'
'x,-y,z'
'x+1/2,y+1/2,z'
'-x+1/2,-y+1/2,-z'
'-x+1/2,y+1/2,-z'
'x+1/2,-y+1/2,z'
loop_
_atom_site_label
_atom_site_type_symbol
_atom_site_fract_x
_atom_site_fract_y
_atom_site_fract_z
_atom_site_occupancy
Ac1 Ac 0.1967 0.0000 0.3375 1
Pr1 Pr 0.0786 0.0000 0.7576 1
Pr2 Pr 0.1416 0.5000 0.0685 1
Pr3 Pr 0.1624 0.2510 0.6645 1
Y1 Y 0.0000 0.2422 0.0000 1
Y2 Y 0.0000 0.5000 0.5000 1
# Spin magnetization in μB/cell: 0.00
# ρ in kg/m³: 6390

two | # Ac2Pr8Y3 PBE-GGA optimized geometry
data_Ac2Pr8Y3
_chemical_formula_sum 'Ac2 Pr8 Y3'
_cell_length_a 5.7473
_cell_length_b 7.8530
_cell_length_c 11.6476
_cell_angle_alpha 70.31
_cell_angle_beta 89.99
_cell_angle_gamma 90.00
_space_group_name_H-M_alt 'P -1'
_space_group_IT_number 2
loop_
_space_group_symop_operation_xyz
'x,y,z'
'-x,-y,-z'
loop_
_atom_site_label
_atom_site_type_symbol
_atom_site_fract_x
_atom_site_fract_y
_atom_site_fract_z
_atom_site_occupancy
Ac1 Ac 0.9996 0.2392 0.0211 1
Pr1 Pr 0.9999 0.1934 0.7017 1
Pr2 Pr 0.0001 0.3952 0.2981 1
Pr3 Pr 0.4999 0.1230 0.2542 1
Pr4 Pr 0.4998 0.3412 0.8179 1
Y1 Y 0.0000 0.0000 0.5000 1
Y2 Y 0.5000 0.2864 0.5000 1
# Spin magnetization in μB/cell: 0.00
# ρ in kg/m³: 6200

Most stable: one. Least stable: two.

one | # AcPrZn4 PBE-GGA optimized geometry
data_AcPrZn4
_chemical_formula_sum 'Ac2 Pr2 Zn8'
_cell_length_a 4.3547
_cell_length_b 4.3547
_cell_length_c 15.5493
_cell_angle_alpha 90.00
_cell_angle_beta 90.00
_cell_angle_gamma 90.00
_space_group_name_H-M_alt 'I -4 m 2'
_space_group_IT_number 119
_space_group_name_Hall 'I -4 -2'
loop_
_atom_site_label
_atom_site_type_symbol
_atom_site_fract_x
_atom_site_fract_y
_atom_site_fract_z
_atom_site_occupancy
Ac1 Ac 0.0000 0.0000 0.0000 1
Pr1 Pr 0.0000 0.5000 0.7500 1
Zn1 Zn 0.0000 0.0000 0.4130 1
Zn2 Zn 0.0000 0.5000 0.1701 1
# Spin magnetization in μB/cell: 0.02
# ρ in kg/m³: 7091

two | # AcPrZn4 PBE-GGA optimized geometry
data_AcPrZn4
_chemical_formula_sum 'Ac4 Pr4 Zn16'
_cell_length_a 8.0972
_cell_length_b 8.0972
_cell_length_c 8.0972
_cell_angle_alpha 90.00
_cell_angle_beta 90.00
_cell_angle_gamma 90.00
_space_group_name_H-M_alt 'F -4 3 m'
_space_group_IT_number 216
_space_group_name_Hall 'F -4 2 3'
loop_
_atom_site_label
_atom_site_type_symbol
_atom_site_fract_x
_atom_site_fract_y
_atom_site_fract_z
_atom_site_occupancy
Ac1 Ac 0.0000 0.0000 0.0000 1
Pr1 Pr 0.2500 0.2500 0.7500 1
Zn1 Zn 0.1233 0.1233 0.3767 1
# Spin magnetization in μB/cell: 0.00
# ρ in kg/m³: 7876

Most stable: one. Least stable: two.

one | # Ac2PrZn2 PBE-GGA optimized geometry
data_Ac2PrZn2
_chemical_formula_sum 'Ac4 Pr2 Zn4'
_cell_length_a 4.9969
_cell_length_b 4.6080
_cell_length_c 14.0423
_cell_angle_alpha 90.00
_cell_angle_beta 99.68
_cell_angle_gamma 90.00
_space_group_name_H-M_alt 'P 1 21/m 1'
_space_group_IT_number 11
loop_
_space_group_symop_operation_xyz
'x,y,z'
'-x,-y,-z'
'-x,y+1/2,-z'
'x,-y+1/2,z'
loop_
_atom_site_label
_atom_site_type_symbol
_atom_site_fract_x
_atom_site_fract_y
_atom_site_fract_z
_atom_site_occupancy
Ac1 Ac 0.0537 0.2500 0.1129 1
Ac2 Ac 0.2637 0.7500 0.5298 1
Pr1 Pr 0.3674 0.2500 0.7339 1
Zn1 Zn 0.1728 0.2500 0.3373 1
Zn2 Zn 0.4784 0.2500 0.9539 1
# Spin magnetization in μB/cell: 0.00
# ρ in kg/m³: 7562

two | # Ac2PrZn2 PBE-GGA optimized geometry
data_Ac2PrZn2
_chemical_formula_sum 'Ac4 Pr2 Zn4'
_cell_length_a 3.8706
_cell_length_b 21.5303
_cell_length_c 3.8249
_cell_angle_alpha 90.00
_cell_angle_beta 90.00
_cell_angle_gamma 90.00
_space_group_name_H-M_alt 'C m m m'
_space_group_IT_number 65
_space_group_name_Hall '-C 2 2'
loop_
_atom_site_label
_atom_site_type_symbol
_atom_site_fract_x
_atom_site_fract_y
_atom_site_fract_z
_atom_site_occupancy
Ac1 Ac 0.0000 0.1703 0.0000 1
Pr1 Pr 0.0000 0.0000 0.0000 1
Zn1 Zn 0.0000 0.4214 0.5000 1
# Spin magnetization in μB/cell: 0.00
# ρ in kg/m³: 7561

Most stable: two. Least stable: one.

one | # Ac2Pr3Zn2 PBE-GGA optimized geometry
data_Ac2Pr3Zn2
_chemical_formula_sum 'Ac4 Pr6 Zn4'
_cell_length_a 3.8146
_cell_length_b 32.2589
_cell_length_c 3.7850
_cell_angle_alpha 90.00
_cell_angle_beta 90.00
_cell_angle_gamma 90.00
_space_group_name_H-M_alt 'C m m m'
_space_group_IT_number 65
_space_group_name_Hall '-C 2 2'
loop_
_atom_site_label
_atom_site_type_symbol
_atom_site_fract_x
_atom_site_fract_y
_atom_site_fract_z
_atom_site_occupancy
Ac1 Ac 0.0000 0.1958 0.0000 1
Pr1 Pr 0.0000 0.0798 0.0000 1
Pr2 Pr 0.0000 0.5000 0.5000 1
Zn1 Zn 0.0000 0.3670 0.5000 1
# Spin magnetization in μB/cell: 0.00
# ρ in kg/m³: 7184

two | # Ac2Pr3Zn2 PBE-GGA optimized geometry
data_Ac2Pr3Zn2
_chemical_formula_sum 'Ac4 Pr6 Zn4'
_cell_length_a 12.2668
_cell_length_b 5.0187
_cell_length_c 8.5916
_cell_angle_alpha 90.00
_cell_angle_beta 118.16
_cell_angle_gamma 90.00
_space_group_name_H-M_alt 'C 1 2/m 1'
_space_group_IT_number 12
loop_
_space_group_symop_operation_xyz
'x,y,z'
'-x,-y,-z'
'-x,y,-z'
'x,-y,z'
'x+1/2,y+1/2,z'
'-x+1/2,-y+1/2,-z'
'-x+1/2,y+1/2,-z'
'x+1/2,-y+1/2,z'
loop_
_atom_site_label
_atom_site_type_symbol
_atom_site_fract_x
_atom_site_fract_y
_atom_site_fract_z
_atom_site_occupancy
Ac1 Ac 0.1362 0.0000 0.2929 1
Pr1 Pr 0.0000 0.5000 0.5000 1
Pr2 Pr 0.1399 0.5000 0.9733 1
Zn1 Zn 0.1357 0.0000 0.6853 1
# Spin magnetization in μB/cell: 0.00
# ρ in kg/m³: 7176

Most stable: one. Least stable: two.

one | # Ac3Pt PBE-GGA optimized geometry
data_Ac3Pt
_chemical_formula_sum 'Ac3 Pt1'
_cell_length_a 3.9861
_cell_length_b 4.0337
_cell_length_c 10.0788
_cell_angle_alpha 90.00
_cell_angle_beta 90.00
_cell_angle_gamma 90.00
_space_group_name_H-M_alt 'P m m 2'
_space_group_IT_number 25
loop_
_space_group_symop_operation_xyz
'x,y,z'
'-x,-y,z'
'-x,y,z'
'x,-y,z'
loop_
_atom_site_label
_atom_site_type_symbol
_atom_site_fract_x
_atom_site_fract_y
_atom_site_fract_z
_atom_site_occupancy
Ac1 Ac 0.0000 0.0000 0.0000 1
Ac2 Ac 0.0000 0.5000 0.3540 1
Ac3 Ac 0.5000 0.5000 0.7128 1
Pt1 Pt 0.5000 0.0000 0.2319 1
# Spin magnetization in μB/cell: 0.00
# ρ in kg/m³: 8977

two | # Ac3Pt PBE-GGA optimized geometry
data_Ac3Pt
_chemical_formula_sum 'Ac24 Pt8'
_cell_length_a 13.0182
_cell_length_b 13.0182
_cell_length_c 6.6427
_cell_angle_alpha 90.00
_cell_angle_beta 90.00
_cell_angle_gamma 90.00
_space_group_name_H-M_alt 'I -4'
_space_group_IT_number 82
loop_
_space_group_symop_operation_xyz
'x,y,z'
'y,-x,-z'
'-x,-y,z'
'-y,x,-z'
'x+1/2,y+1/2,z+1/2'
'y+1/2,-x+1/2,-z+1/2'
'-x+1/2,-y+1/2,z+1/2'
'-y+1/2,x+1/2,-z+1/2'
loop_
_atom_site_label
_atom_site_type_symbol
_atom_site_fract_x
_atom_site_fract_y
_atom_site_fract_z
_atom_site_occupancy
Ac1 Ac 0.0007 0.1409 0.2497 1
Ac2 Ac 0.0973 0.5981 0.9987 1
Ac3 Ac 0.1985 0.6997 0.5406 1
Pt1 Pt 0.0010 0.1993 0.7490 1
# Spin magnetization in μB/cell: 0.00
# ρ in kg/m³: 10338

Most stable: two. Least stable: one.

one | # Ac3Pt PBE-GGA optimized geometry
data_Ac3Pt
_chemical_formula_sum 'Ac12 Pt4'
_cell_length_a 4.2302
_cell_length_b 18.2171
_cell_length_c 8.0295
_cell_angle_alpha 90.00
_cell_angle_beta 90.00
_cell_angle_gamma 90.00
_space_group_name_H-M_alt 'C m c m'
_space_group_IT_number 63
_space_group_name_Hall '-C 2c 2'
loop_
_atom_site_label
_atom_site_type_symbol
_atom_site_fract_x
_atom_site_fract_y
_atom_site_fract_z
_atom_site_occupancy
Ac1 Ac 0.0000 0.0077 0.2500 1
Ac2 Ac 0.0000 0.3431 0.5005 1
Pt1 Pt 0.0000 0.2087 0.2500 1
# Spin magnetization in μB/cell: 0.00
# ρ in kg/m³: 9404

two | # Ac3Pt PBE-GGA optimized geometry
data_Ac3Pt
_chemical_formula_sum 'Ac12 Pt4'
_cell_length_a 8.0834
_cell_length_b 8.0834
_cell_length_c 8.0834
_cell_angle_alpha 90.00
_cell_angle_beta 90.00
_cell_angle_gamma 90.00
_space_group_name_H-M_alt 'F m -3 m'
_space_group_IT_number 225
_space_group_name_Hall '-F 4 2 3'
loop_
_atom_site_label
_atom_site_type_symbol
_atom_site_fract_x
_atom_site_fract_y
_atom_site_fract_z
_atom_site_occupancy
Ac1 Ac 0.0000 0.0000 0.0000 1
Ac2 Ac 0.2500 0.2500 0.2500 1
Pt1 Pt 0.0000 0.0000 0.5000 1
# Spin magnetization in μB/cell: 2.09
# ρ in kg/m³: 11017

Most stable: one. Least stable: two.

one | # Ac3Pt PBE-GGA optimized geometry
data_Ac3Pt
_chemical_formula_sum 'Ac6 Pt2'
_cell_length_a 4.0492
_cell_length_b 11.2469
_cell_length_c 6.7478
_cell_angle_alpha 90.00
_cell_angle_beta 90.00
_cell_angle_gamma 90.00
_space_group_name_H-M_alt 'I m m 2'
_space_group_IT_number 44
loop_
_space_group_symop_operation_xyz
'x,y,z'
'-x,-y,z'
'-x,y,z'
'x,-y,z'
'x+1/2,y+1/2,z+1/2'
'-x+1/2,-y+1/2,z+1/2'
'-x+1/2,y+1/2,z+1/2'
'x+1/2,-y+1/2,z+1/2'
loop_
_atom_site_label
_atom_site_type_symbol
_atom_site_fract_x
_atom_site_fract_y
_atom_site_fract_z
_atom_site_occupancy
Ac1 Ac 0.0000 0.0000 0.0000 1
Ac2 Ac 0.0000 0.1851 0.4972 1
Pt1 Pt 0.0000 0.5000 0.1675 1
# Spin magnetization in μB/cell: 0.00
# ρ in kg/m³: 9468

two | # Ac3Pt PBE-GGA optimized geometry
data_Ac3Pt
_chemical_formula_sum 'Ac3 Pt1'
_cell_length_a 5.1462
_cell_length_b 5.1462
_cell_length_c 5.1462
_cell_angle_alpha 90.00
_cell_angle_beta 90.00
_cell_angle_gamma 90.00
_space_group_name_H-M_alt 'P m -3 m'
_space_group_IT_number 221
_space_group_name_Hall '-P 4 2 3'
loop_
_atom_site_label
_atom_site_type_symbol
_atom_site_fract_x
_atom_site_fract_y
_atom_site_fract_z
_atom_site_occupancy
Ac1 Ac 0.0000 0.0000 0.5000 1
Pt1 Pt 0.5000 0.5000 0.5000 1
# Spin magnetization in μB/cell: 0.00
# ρ in kg/m³: 10674

Most stable: one. Least stable: two.